First-principles (PBE) data for a relaxed MnGaHOs crystal, as listed in the Alexandria database.

## Properties
For the energy above the most stable polymorph in this dataset, the calculation gives 0.90 eV per formula unit. The calculation puts the calculated total energy at -6.4493 eV per atom. The calculation puts the spin magnetization at 0.741 μB/atom.

Cell lengths 8.4109, 2.9673, 4.4490 Å; angles 90.00, 117.63, 90.00 degrees
With the nearest neighbours (Å) after each atom.
Sites, in units of the cell vectors:
Mn: 0.0000 0.0000 0.0000  1 H 1.73
Mn: 0.5000 0.5000 0.0000  1 H 1.73
Ga: 0.4375 0.0000 0.4323  1 H 1.82
Ga: 0.9375 0.5000 0.4323  1 H 1.82
H: 0.2063 0.0000 0.3616  1 Os 1.70, 1 Mn 1.73, 1 Ga 1.82
H: 0.7063 0.5000 0.3616  1 Os 1.70, 1 Mn 1.73, 1 Ga 1.82
Os: 0.2223 0.0000 0.7574  1 H 1.70
Os: 0.7223 0.5000 0.7574  1 H 1.70